A geometry-optimized LaPuTeAs structure. Source: Alexandria via LeMat-Bulk, functional PBE.

Lattice parameters (Å, degrees): 4.3696 4.3696 21.7498 90.00 90.00 120.00
Atoms (fractional coordinates):
La 0.0000 0.0000 0.0000
La 0.3333 0.6667 0.6667
La 0.6667 0.3333 0.3333
Pu 0.0000 0.0000 0.5162
Pu 0.3333 0.6667 0.1828
Pu 0.6667 0.3333 0.8495
Te 0.0000 0.0000 0.7623
Te 0.3333 0.6667 0.4289
Te 0.6667 0.3333 0.0956
As 0.0000 0.0000 0.2548
As 0.3333 0.6667 0.9215
As 0.6667 0.3333 0.5881

crystal system: trigonal
mass density: 8.11 Mg/m³
ΔE_f (raw): -1358 meV/atom

=====

A geometry-optimized La2PuTh3As6 structure. Source: Alexandria via LeMat-Bulk, functional PBE.

Lattice parameters (Å, degrees): 9.5782 9.5782 8.5558 102.98 102.98 25.83
Atoms (fractional coordinates):
La 0.1658 0.1658 0.3323
La 0.8342 0.8342 0.6677
Pu 0.5000 0.5000 0.0000
Th 0.1670 0.1670 0.8348
Th 0.5000 0.5000 0.5000
Th 0.8330 0.8330 0.1652
As 0.0021 0.0021 0.7535
As 0.3341 0.3341 0.9220
As 0.3350 0.3350 0.4115
As 0.6650 0.6650 0.5885
As 0.6659 0.6659 0.0780
As 0.9979 0.9979 0.2465

crystal system: monoclinic
energy relative to the elements: -1.41 eV per atom
mass density: 8.32 Mg/m³

=====

A geometry-optimized La4PuTh3As8 structure. Source: Alexandria via LeMat-Bulk, functional PBE.

Lattice parameters (Å, degrees): 8.6163 8.6163 8.6163 59.81 59.81 59.81
Atoms (fractional coordinates):
La 0.0000 0.0000 0.0000
La 0.0000 0.5000 0.5000
La 0.5000 0.0000 0.5000
La 0.5000 0.5000 0.0000
Pu 0.5000 0.5000 0.5000
Th 0.0000 0.0000 0.5000
Th 0.0000 0.5000 0.0000
Th 0.5000 0.0000 0.0000
As 0.2472 0.2472 0.2472
As 0.2480 0.7460 0.7460
As 0.2540 0.2540 0.7520
As 0.2540 0.7520 0.2540
As 0.7460 0.2480 0.7460
As 0.7460 0.7460 0.2480
As 0.7520 0.2540 0.2540
As 0.7528 0.7528 0.7528

crystal system: trigonal
energy relative to the elements: -1.46 eV per atom
mass density: 7.72 Mg/m³

=====

A geometry-optimized La3PuTh2As6 structure. Source: Alexandria via LeMat-Bulk, functional PBE.

Lattice parameters (Å, degrees): 9.6243 9.6243 8.6018 103.18 103.18 25.80
Atoms (fractional coordinates):
La 0.0000 0.0000 0.0000
La 0.3338 0.3338 0.6661
La 0.6662 0.6662 0.3339
Pu 0.0000 0.0000 0.5000
Th 0.3350 0.3350 0.1697
Th 0.6650 0.6650 0.8303
As 0.1644 0.1644 0.5876
As 0.1691 0.1691 0.0782
As 0.4983 0.4983 0.2582
As 0.5017 0.5017 0.7418
As 0.8309 0.8309 0.9218
As 0.8356 0.8356 0.4124

crystal system: monoclinic
energy relative to the elements: -1.44 eV per atom
mass density: 7.76 Mg/m³

=====

A geometry-optimized La2PuThAs4 structure. Source: Alexandria via LeMat-Bulk, functional PBE.

Lattice parameters (Å, degrees): 7.4148 4.2897 7.4507 90.00 109.46 90.00
Atoms (fractional coordinates):
La 0.0000 0.0000 0.0000
La 0.5000 0.5000 0.0000
Pu 0.0000 0.5000 0.5000
Th 0.5000 0.0000 0.5000
As 0.2436 0.0000 0.7374
As 0.2519 0.5000 0.2597
As 0.7481 0.5000 0.7403
As 0.7564 0.0000 0.2626

crystal system: monoclinic
energy relative to the elements: -1.40 eV per atom
mass density: 7.83 Mg/m³

=====

A geometry-optimized LaTmPu2As4 structure. Source: Alexandria via LeMat-Bulk, functional PBE.

Lattice parameters (Å, degrees): 7.2118 4.1883 7.2535 90.00 109.53 90.00
Atoms (fractional coordinates):
La 0.0000 0.0000 0.0000
Tm 0.0000 0.5000 0.5000
Pu 0.5000 0.0000 0.5000
Pu 0.5000 0.5000 0.0000
As 0.2544 0.0000 0.7427
As 0.2609 0.5000 0.2628
As 0.7391 0.5000 0.7372
As 0.7456 0.0000 0.2573

crystal system: monoclinic
energy relative to the elements: -1.25 eV per atom
mass density: 8.81 Mg/m³

=====

A geometry-optimized La2PuUAs4 structure. Source: Alexandria via LeMat-Bulk, functional PBE.

Lattice parameters (Å, degrees): 7.3449 4.2214 7.3588 90.00 109.29 90.00
Atoms (fractional coordinates):
La 0.0000 0.0000 0.0000
La 0.5000 0.5000 0.0000
Pu 0.0000 0.5000 0.5000
U 0.5000 0.0000 0.5000
As 0.2485 0.0000 0.7312
As 0.2605 0.5000 0.2688
As 0.7395 0.5000 0.7312
As 0.7515 0.0000 0.2688

crystal system: monoclinic
energy relative to the elements: -1.19 eV per atom
mass density: 8.17 Mg/m³

=====

A geometry-optimized LaPu2UAs4 structure. Source: Alexandria via LeMat-Bulk, functional PBE.

Lattice parameters (Å, degrees): 5.9273 5.9273 11.8503 90.00 90.00 90.00
Atoms (fractional coordinates):
La 0.0000 0.0000 0.0000
La 0.5000 0.5000 0.5000
Pu 0.0000 0.0000 0.5000
Pu 0.0000 0.5000 0.7500
Pu 0.5000 0.0000 0.2500
Pu 0.5000 0.5000 0.0000
U 0.0000 0.5000 0.2500
U 0.5000 0.0000 0.7500
As 0.0000 0.0000 0.2559
As 0.0000 0.0000 0.7441
As 0.0000 0.5000 0.0047
As 0.0000 0.5000 0.4953
As 0.5000 0.0000 0.5047
As 0.5000 0.0000 0.9953
As 0.5000 0.5000 0.2441
As 0.5000 0.5000 0.7559

crystal system: tetragonal
energy relative to the elements: -1.06 eV per atom
mass density: 9.29 Mg/m³

=====

A geometry-optimized La2Y3PuAs6 structure. Source: Alexandria via LeMat-Bulk, functional PBE.

Lattice parameters (Å, degrees): 9.4109 9.4109 8.4227 102.84 102.84 25.90
Atoms (fractional coordinates):
La 0.1659 0.1659 0.3328
La 0.8341 0.8341 0.6672
Y 0.1676 0.1676 0.8340
Y 0.5000 0.5000 0.5000
Y 0.8324 0.8324 0.1660
Pu 0.5000 0.5000 0.0000
As 0.0035 0.0035 0.7544
As 0.3342 0.3342 0.9261
As 0.3363 0.3363 0.4091
As 0.6637 0.6637 0.5909
As 0.6658 0.6658 0.0739
As 0.9965 0.9965 0.2456

crystal system: monoclinic
energy relative to the elements: -1.45 eV per atom
mass density: 6.48 Mg/m³

=====

A geometry-optimized La2YPuAs4 structure. Source: Alexandria via LeMat-Bulk, functional PBE.

Lattice parameters (Å, degrees): 7.3562 4.2604 7.3642 90.00 109.46 90.00
Atoms (fractional coordinates):
La 0.0000 0.0000 0.0000
La 0.5000 0.5000 0.0000
Y 0.0000 0.5000 0.5000
Pu 0.5000 0.0000 0.5000
As 0.2465 0.0000 0.7361
As 0.2564 0.5000 0.2656
As 0.7436 0.5000 0.7344
As 0.7535 0.0000 0.2639

crystal system: monoclinic
energy relative to the elements: -1.41 eV per atom
mass density: 6.95 Mg/m³

=====

A geometry-optimized LaY2PuAs4 structure. Source: Alexandria via LeMat-Bulk, functional PBE.

Lattice parameters (Å, degrees): 7.2516 4.1988 7.2637 90.00 109.50 90.00
Atoms (fractional coordinates):
La 0.0000 0.0000 0.0000
Y 0.5000 0.0000 0.5000
Y 0.5000 0.5000 0.0000
Pu 0.0000 0.5000 0.5000
As 0.2529 0.0000 0.7439
As 0.2582 0.5000 0.2594
As 0.7418 0.5000 0.7406
As 0.7471 0.0000 0.2561

crystal system: monoclinic
energy relative to the elements: -1.40 eV per atom
mass density: 6.85 Mg/m³

=====

A geometry-optimized RbLaAs3 structure. Source: Alexandria via LeMat-Bulk, functional PBE.

Lattice parameters (Å, degrees): 5.7674 5.7674 5.7674 90.00 90.00 90.00
Atoms (fractional coordinates):
Rb 0.0000 0.0000 0.0000
La 0.5000 0.5000 0.5000
As 0.0000 0.5000 0.5000
As 0.5000 0.0000 0.5000
As 0.5000 0.5000 0.0000

crystal system: cubic
ΔE to the lowest computed polymorph: 0 meV per atom
energy relative to the elements: -0.01 eV per atom
mass density: 3.89 Mg/m³

=====

A geometry-optimized RbLa3As structure. Source: Alexandria via LeMat-Bulk, functional PBE.

Lattice parameters (Å, degrees): 5.9640 5.9640 5.9640 90.00 90.00 90.00
Atoms (fractional coordinates):
Rb 0.0000 0.0000 0.0000
La 0.0000 0.5000 0.5000
La 0.5000 0.0000 0.5000
La 0.5000 0.5000 0.0000
As 0.5000 0.5000 0.5000

crystal system: cubic
ΔE to the lowest computed polymorph: 0 meV per atom
energy relative to the elements: -0.20 eV per atom
mass density: 4.52 Mg/m³

=====

A geometry-optimized RbLaAs3 structure. Source: Alexandria via LeMat-Bulk, functional PBE.

Lattice parameters (Å, degrees): 5.4006 5.4006 5.4006 90.00 90.00 90.00
Atoms (fractional coordinates):
Rb 0.0000 0.0000 0.0000
La 0.5000 0.5000 0.5000
As 0.0000 0.0000 0.5000
As 0.0000 0.5000 0.0000
As 0.5000 0.0000 0.0000

crystal system: cubic
ΔE to the lowest computed polymorph: 753 meV per atom
energy relative to the elements: 0.74 eV per atom
mass density: 4.73 Mg/m³

=====

A geometry-optimized RbLa2As structure. Source: Alexandria via LeMat-Bulk, functional PBE.

Lattice parameters (Å, degrees): 9.5810 9.5810 7.3271 90.00 90.00 90.00
Atoms (fractional coordinates):
Rb 0.0000 0.0000 0.0000
Rb 0.0000 0.5000 0.2500
Rb 0.5000 0.0000 0.7500
Rb 0.5000 0.5000 0.5000
La 0.1547 0.2500 0.6250
La 0.2500 0.6547 0.8750
La 0.2500 0.8453 0.3750
La 0.3453 0.2500 0.1250
La 0.6547 0.7500 0.1250
La 0.7500 0.1547 0.3750
La 0.7500 0.3453 0.8750
La 0.8453 0.7500 0.6250
As 0.0000 0.0000 0.5000
As 0.0000 0.5000 0.7500
As 0.5000 0.0000 0.2500
As 0.5000 0.5000 0.0000

crystal system: tetragonal
energy relative to the elements: -0.17 eV per atom
mass density: 4.33 Mg/m³

=====

A geometry-optimized RbLa3As structure. Source: Alexandria via LeMat-Bulk, functional PBE.

Lattice parameters (Å, degrees): 5.5542 5.5542 5.5542 90.00 90.00 90.00
Atoms (fractional coordinates):
Rb 0.0000 0.0000 0.0000
La 0.0000 0.0000 0.5000
La 0.0000 0.5000 0.0000
La 0.5000 0.0000 0.0000
As 0.5000 0.5000 0.5000

crystal system: cubic
ΔE to the lowest computed polymorph: 1183 meV per atom
energy relative to the elements: 0.98 eV per atom
mass density: 5.59 Mg/m³

=====

A geometry-optimized RbLaAs structure. Source: Alexandria via LeMat-Bulk, functional PBE.

Lattice parameters (Å, degrees): 4.0969 4.0969 15.2938 90.00 90.00 90.00
Atoms (fractional coordinates):
Rb 0.0000 0.0000 0.0000
Rb 0.5000 0.5000 0.5000
La 0.0000 0.0000 0.2417
La 0.5000 0.5000 0.7417
As 0.0000 0.0000 0.6892
As 0.5000 0.5000 0.1892

crystal system: tetragonal
energy relative to the elements: -0.66 eV per atom
mass density: 3.87 Mg/m³

=====

A geometry-optimized RbLaAsRh2 structure. Source: Alexandria via LeMat-Bulk, functional PBE.

Lattice parameters (Å, degrees): 4.7648 4.7648 5.7607 90.00 90.00 90.00
Atoms (fractional coordinates):
Rb 0.0000 0.0000 0.0000
La 0.0000 0.0000 0.5000
As 0.5000 0.5000 0.5000
Rh 0.0000 0.5000 0.0000
Rh 0.5000 0.0000 0.0000

crystal system: tetragonal
energy relative to the elements: 1.41 eV per atom
mass density: 6.41 Mg/m³

=====

A geometry-optimized Rb2LaAsSe4 structure. Source: Alexandria via LeMat-Bulk, functional PBE.

Lattice parameters (Å, degrees): 8.9208 8.9208 8.9208 121.35 118.62 90.04
Atoms (fractional coordinates):
Rb 0.0000 0.0000 0.0000
Rb 0.5000 0.0000 0.0000
Rb 0.5000 0.0000 0.5000
Rb 0.5000 0.5000 0.5000
La 0.0000 0.5000 0.5000
La 0.5000 0.5000 0.0000
As 0.0000 0.0000 0.5000
As 0.0000 0.5000 0.0000
Se 0.1908 0.7393 0.4515
Se 0.2122 0.2607 0.9515
Se 0.2238 0.2487 0.5249
Se 0.2238 0.6988 0.9751
Se 0.7762 0.3012 0.0249
Se 0.7762 0.7513 0.4751
Se 0.7878 0.7393 0.0485
Se 0.8092 0.2607 0.5485

crystal system: orthorhombic
mass density: 4.64 Mg/m³
ΔE_f (raw): -1084 meV/atom

=====

A geometry-optimized RbLaAs2Se structure. Source: Alexandria via LeMat-Bulk, functional PBE.

Lattice parameters (Å, degrees): 5.3744 5.3744 5.6193 90.00 90.00 90.00
Atoms (fractional coordinates):
Rb 0.0000 0.0000 0.0000
La 0.5000 0.5000 0.5000
As 0.0000 0.5000 0.0000
As 0.5000 0.0000 0.0000
Se 0.0000 0.0000 0.5000

crystal system: tetragonal
ΔE to the lowest computed polymorph: 858 meV per atom
mass density: 4.64 Mg/m³
ΔE_f (raw): 529 meV/atom